This record from the Alexandria database describes an optimized crystal structure of SmHo6Th12. The functional is GGA-PBE.

Lattice parameters (Å, degrees): 8.7207 8.7207 8.7207 99.52 99.52 99.52
Last column: nearest neighbours and their distance in Å.
Fractional coordinates of all 19 atoms:
Sm1 0.0000 0.0000 0.0000  6 Ho 3.42, 6 Th 3.82
Ho1 0.0995 0.0995 0.6606  1 Ho 3.11, 1 Sm 3.42, 2 Th 3.43
Ho2 0.0995 0.6606 0.0995  1 Ho 3.11, 1 Sm 3.42, 2 Th 3.43
Ho3 0.3394 0.9005 0.9005  1 Ho 3.11, 1 Sm 3.42, 2 Th 3.43
Ho4 0.6606 0.0995 0.0995  1 Ho 3.11, 1 Sm 3.42, 2 Th 3.43
Ho5 0.9005 0.3394 0.9005  1 Ho 3.11, 1 Sm 3.42, 2 Th 3.43
Ho6 0.9005 0.9005 0.3394  1 Ho 3.11, 1 Sm 3.42, 2 Th 3.43
Th1 0.0834 0.3502 0.3502  6 Th 3.40-3.55, 2 Ho 3.75
Th2 0.2464 0.5000 0.7536  6 Th 3.38-3.51, 4 Ho 3.43-3.63
Th3 0.2464 0.7536 0.5000  6 Th 3.38-3.51, 4 Ho 3.43-3.63
Th4 0.3502 0.0834 0.3502  6 Th 3.40-3.55, 2 Ho 3.75
Th5 0.3502 0.3502 0.0834  6 Th 3.40-3.55, 2 Ho 3.75
Th6 0.5000 0.2464 0.7536  6 Th 3.38-3.51, 4 Ho 3.43-3.63
Th7 0.5000 0.7536 0.2464  6 Th 3.38-3.51, 4 Ho 3.43-3.63
Th8 0.6498 0.6498 0.9166  6 Th 3.40-3.55, 2 Ho 3.75
Th9 0.6498 0.9166 0.6498  6 Th 3.40-3.55, 2 Ho 3.75
Th10 0.7536 0.2464 0.5000  6 Th 3.38-3.51, 4 Ho 3.43-3.63
Th11 0.7536 0.5000 0.2464  6 Th 3.38-3.51, 4 Ho 3.43-3.63
Th12 0.9166 0.6498 0.6498  6 Th 3.40-3.55, 2 Ho 3.75

Output
calculated volume: 632 Å³/cell
VASP energy: -116.58 eV/cell
mass density: 10.31 g/cm³
DFT formation energy: 244 meV/atom
space group: R-3m

This record from the Alexandria database describes an optimized crystal structure of CoNi2Ag. The functional is GGA-PBE.

Lattice parameters (Å, degrees): 5.3322 5.3322 5.3322 103.21 103.21 122.89
Last column: nearest neighbours and their distance in Å.
Fractional coordinates of all 8 atoms:
Co1 0.0000 0.0000 0.0000  4 Ni 2.26
Co2 0.7500 0.2500 0.5000  4 Ni 2.26
Ni1 0.0874 0.6250 0.9624  2 Co 2.26
Ni2 0.3750 0.3374 0.4624  2 Co 2.26
Ni3 0.6626 0.1250 0.0376  2 Co 2.26
Ni4 0.8750 0.9126 0.5376  2 Co 2.26
Ag1 0.2500 0.7500 0.5000  2 Co 2.55, 4 Ni 2.60
Ag2 0.5000 0.5000 0.0000  2 Co 2.55, 4 Ni 2.60

Output
calculated volume: 112 Å³/cell
VASP energy: -38.34 eV/cell
mass density: 8.44 g/cm³
DFT formation energy: 587 meV/atom
space group: I-42d

This record from the Alexandria database describes an optimized crystal structure of CaHo3. The functional is GGA-PBE.

Lattice parameters (Å, degrees): 3.6146 5.7356 6.3580 90.00 90.00 90.00
Last column: nearest neighbours and their distance in Å.
Fractional coordinates of all 4 atoms:
Ca1 0.0000 0.0000 0.0000  10 Ho 3.58-3.66, 2 Ca 3.61
Ho1 0.0000 0.5000 0.6613  10 Ho 3.54-3.77, 2 Ca 3.59
Ho2 0.5000 0.0000 0.5011  8 Ho 3.52-3.61, 4 Ca 3.65-3.66
Ho3 0.5000 0.5000 0.1812  8 Ho 3.52-3.77, 4 Ca 3.58

Output
calculated volume: 132 Å³/cell
VASP energy: -15.33 eV/cell
mass density: 6.74 g/cm³
DFT formation energy: 100 meV/atom
space group: Pmm2

This record from the Alexandria database describes an optimized crystal structure of Pr3Y6ThSc2. The functional is GGA-PBE.

Lattice parameters (Å, degrees): 6.1481 6.1481 11.8331 94.97 94.97 120.00
Last column: nearest neighbours and their distance in Å.
Fractional coordinates of all 12 atoms:
Pr1 0.0000 0.0000 0.0000  6 Pr 3.55, 6 Y 3.64
Pr2 0.3330 0.6670 0.0000  6 Pr 3.55-3.56, 6 Y 3.64
Pr3 0.6670 0.3330 0.0000  6 Pr 3.55-3.56, 6 Y 3.64
Y1 0.0863 0.4191 0.2585  1 Th 3.48, 2 Sc 3.48, 6 Y 3.54-3.55, 3 Pr 3.64
Y2 0.2477 0.2477 0.7416  1 Th 3.48, 2 Sc 3.48, 6 Y 3.55, 3 Pr 3.64
Y3 0.4191 0.0863 0.2585  1 Th 3.48, 2 Sc 3.48, 6 Y 3.54-3.55, 3 Pr 3.64
Y4 0.5809 0.9137 0.7415  1 Th 3.48, 2 Sc 3.48, 6 Y 3.54-3.55, 3 Pr 3.64
Y5 0.7523 0.7523 0.2584  1 Th 3.48, 2 Sc 3.48, 6 Y 3.55, 3 Pr 3.64
Y6 0.9137 0.5809 0.7415  1 Th 3.48, 2 Sc 3.48, 6 Y 3.54-3.55, 3 Pr 3.64
Th1 0.5000 0.5000 0.5000  6 Y 3.48, 6 Sc 3.55
Sc1 0.1669 0.8331 0.5000  6 Y 3.48, 3 Th 3.55, 3 Sc 3.55
Sc2 0.8331 0.1669 0.5000  6 Y 3.48, 3 Th 3.55, 3 Sc 3.55

Output
calculated volume: 382 Å³/cell
VASP energy: -72.69 eV/cell
mass density: 5.56 g/cm³
DFT formation energy: 43 meV/atom
space group: C2/m

This record from the Alexandria database describes an optimized crystal structure of Ti6SiN. The functional is GGA-PBE.

Lattice parameters (Å, degrees): 5.3267 5.3377 5.9958 63.73 64.00 60.18
Last column: nearest neighbours and their distance in Å.
Fractional coordinates of all 8 atoms:
Ti1 0.0355 0.4106 0.2708  1 N 2.06
Ti2 0.2172 0.9669 0.7294  1 N 2.06
Ti3 0.4101 0.7820 0.2726  1 N 2.06
Ti4 0.5899 0.2180 0.7274  1 N 2.06
Ti5 0.7828 0.0331 0.2706  1 N 2.06
Ti6 0.9645 0.5894 0.7292  1 N 2.06
Si1 0.5000 0.5000 0.0000  6 Ti 2.44
N1 0.0000 0.0000 0.5000  6 Ti 2.06

Output
calculated volume: 127 Å³/cell
VASP energy: -64.79 eV/cell
ΔE_f (raw): -459 meV/atom
mass density: 4.30 g/cm³
space group: P-1

This record from the Alexandria database describes an optimized crystal structure of TiTeI3. The functional is GGA-PBE.

Lattice parameters (Å, degrees): 5.5445 5.5445 5.5445 90.00 90.00 90.00
Last column: nearest neighbours and their distance in Å.
Fractional coordinates of all 5 atoms:
Ti1 0.0000 0.0000 0.0000  6 I 2.77
Te1 0.5000 0.5000 0.5000  12 I 3.92
I1 0.0000 0.0000 0.5000  2 Ti 2.77
I2 0.0000 0.5000 0.0000  2 Ti 2.77
I3 0.5000 0.0000 0.0000  2 Ti 2.77

Output
calculated volume: 170 Å³/cell
VASP energy: -15.78 eV/cell
ΔE_f (raw): -19 meV/atom
mass density: 5.42 g/cm³
space group: Pm-3m